Entry 1:
A relaxed PmTlH2O4 crystal. Source: the Alexandria database, functional PBE.

## Properties
- Space group: I222, No. 23

```
PmTlH2O4
1.0
-2.499 2.780 3.119
2.499 -2.780 3.119
2.499 2.780 -3.119
Pm Tl H O
1 1 2 4
direct
0.000 0.000 0.000
0.500 0.500 0.000
0.287 0.787 0.500
0.713 0.213 0.500
0.135 0.966 0.540
0.426 0.596 0.460
0.574 0.034 0.169
0.865 0.404 0.831
```



Entry 2:
A relaxed BaNa2In2 crystal. Source: the Alexandria database, functional PBE.

## Properties
- Space group: P4/mbm, No. 127
- Distance to the lowest polymorph of the same formula: 0.0694 eV per atom
- E_form: -135 meV per atom

```
BaNa2In2
1.0
9.460 0.000 0.000
0.000 9.460 0.000
0.000 0.000 3.567
Ba Na In
2 4 4
direct
0.000 0.000 0.000
0.500 0.500 0.000
0.118 0.382 0.000
0.382 0.882 0.000
0.618 0.118 0.000
0.882 0.618 0.000
0.179 0.679 0.500
0.321 0.179 0.500
0.679 0.821 0.500
0.821 0.321 0.500
```



Entry 3:
A relaxed ZrHRh2 crystal. Source: the Alexandria database, functional PBE.

## Properties
- Space group: I-42d, No. 122
- Distance to the lowest polymorph of the same formula: 0.0000 eV per atom

```
ZrHRh2
1.0
-2.760 2.760 3.634
2.760 -2.760 3.634
2.760 2.760 -3.634
Zr H Rh
2 2 4
direct
0.000 0.000 0.000
0.750 0.250 0.500
0.250 0.750 0.500
0.500 0.500 0.000
0.275 0.625 0.150
0.375 0.525 0.650
0.475 0.125 0.850
0.875 0.725 0.350
```



Entry 4:
A relaxed LaTb2Y3Te6 crystal. Source: the Alexandria database, functional PBE.

## Properties
- Space group: C2/m, No. 12
- ΔE_f (raw): -1.36 eV per atom

```
LaTb2Y3Te6
1.0
9.596 -2.193 0.000
9.596 2.193 0.000
-2.040 0.000 8.615
La Tb Y Te
1 2 3 6
direct
0.000 0.000 0.000
0.334 0.334 0.668
0.666 0.666 0.332
0.000 0.000 0.500
0.338 0.338 0.168
0.662 0.662 0.832
0.167 0.167 0.584
0.172 0.172 0.086
0.499 0.499 0.738
0.501 0.501 0.262
0.828 0.828 0.914
0.833 0.833 0.416
```



Entry 5:
A relaxed CeNi8B4 crystal. Source: the Alexandria database, functional PBE.

## Properties
- Space group: I4/mmm, No. 139
- E_form: -158 meV per atom

```
CeNi8B4
1.0
-3.805 3.805 2.272
3.805 -3.805 2.272
3.805 3.805 -2.272
Ce Ni B
1 8 4
direct
0.000 0.000 0.000
0.000 0.339 0.339
0.000 0.661 0.661
0.271 0.500 0.771
0.339 0.000 0.339
0.500 0.271 0.771
0.500 0.729 0.229
0.661 0.000 0.661
0.729 0.500 0.229
0.000 0.000 0.500
0.000 0.500 0.000
0.500 0.000 0.000
0.500 0.500 0.500
```



Entry 6:
A relaxed ThFe3B crystal. Source: the Alexandria database, functional PBE.

## Properties
- Space group: Cmcm, No. 63
- E_form: 397 meV per atom

```
ThFe3B
1.0
3.030 -4.855 0.000
3.030 4.855 0.000
0.000 0.000 5.088
Th Fe B
2 6 2
direct
0.083 0.917 0.750
0.917 0.083 0.250
0.019 0.598 0.250
0.402 0.981 0.250
0.500 0.500 0.000
0.500 0.500 0.500
0.598 0.019 0.750
0.981 0.402 0.750
0.344 0.656 0.750
0.656 0.344 0.250
```



Total DFT energy (no corrections) in eV for the cell shown, matching the order above: -45.87 -21.43 -56.29 -68.71 -80.95 -75.00